Entry 1:
A geometry-optimized Sm6DyY2Tm structure. Source: Alexandria, functional PBE.

**Density**: 7.039 g cm⁻³
**Space-group type**: No. 15
**Energy relative to the elements**: 0.12 eV/atom
**Electronic total energy**: -4.910 eV/atom

Geometry as POSCAR:
```
Sm6DyY2Tm
1.0
0.3743 9.4234 1.5118
-5.4517 0.7873 -6.9863
-3.6882 -1.6744 7.9210
Tm Y Sm Dy
2 4 12 2
direct
0.7500 0.5893 0.4107
0.2500 0.4107 0.5893
0.9538 0.6994 0.7982
0.0462 0.3006 0.2018
0.5462 0.2018 0.3006
0.4538 0.7982 0.6994
0.5557 0.7600 0.1202
0.6876 0.0115 0.5653
0.1179 0.7087 0.4882
0.9443 0.8798 0.2400
0.3821 0.5118 0.2913
0.6179 0.4882 0.7087
0.8821 0.2913 0.5118
0.1876 0.5653 0.0115
0.4443 0.2400 0.8798
0.0557 0.1202 0.7600
0.8124 0.4347 0.9885
0.3124 0.9885 0.4347
0.7500 0.0277 0.9723
0.2500 0.9723 0.0277
```

Entry 2:
A geometry-optimized Sm2DyYTm6 structure. Source: Alexandria, functional PBE.

**Density**: 8.244 g cm⁻³
**Space-group type**: No. 15
**Energy relative to the elements**: 0.12 eV/atom
**Electronic total energy**: -4.615 eV/atom

Geometry as POSCAR:
```
Sm2DyYTm6
1.0
9.0477 -2.1352 -2.2158
0.7894 8.4322 -2.0225
0.7894 -2.3336 8.3515
Sm Tm Dy Y
4 12 2 2
direct
0.9569 0.6990 0.8061
0.5431 0.1939 0.3010
0.4569 0.8061 0.6990
0.0431 0.3010 0.1939
0.1192 0.7100 0.4985
0.6859 0.0236 0.5748
0.3808 0.5015 0.2900
0.3141 0.9764 0.4252
0.1859 0.5748 0.0236
0.4428 0.2545 0.8730
0.5572 0.7455 0.1270
0.9428 0.8730 0.2545
0.8141 0.4252 0.9764
0.8808 0.2900 0.5015
0.0572 0.1270 0.7455
0.6192 0.4985 0.7100
0.7500 0.5927 0.4073
0.2500 0.4073 0.5927
0.2500 0.9805 0.0195
0.7500 0.0195 0.9805
```

Entry 3:
A geometry-optimized Sm2Dy2Y4Tm structure. Source: Alexandria, functional PBE.

**Density**: 6.584 g cm⁻³
**Space-group type**: No. 12
**Energy relative to the elements**: 0.01 eV/atom
**Electronic total energy**: -5.435 eV/atom

Geometry as POSCAR:
```
Sm2Dy2Y4Tm
1.0
3.6000 0.0000 0.0000
-1.8000 9.3355 -0.5133
0.0000 -3.6817 8.8342
Tm Y Dy Sm
1 4 2 2
direct
0.0000 0.0000 0.0000
0.4814 0.9627 0.6686
0.8152 0.6304 0.6680
0.5187 0.0373 0.3314
0.1848 0.3696 0.3320
0.6659 0.3319 0.9998
0.3341 0.6681 0.0002
0.1485 0.2970 0.6668
0.8515 0.7030 0.3332
```

Entry 4:
A geometry-optimized Sm3Dy2Tm6Zr structure. Source: Alexandria, functional PBE.

**Density**: 8.591 g cm⁻³
**Space-group type**: No. 12
**Energy relative to the elements**: 0.04 eV/atom
**Electronic total energy**: -4.851 eV/atom

Geometry as POSCAR:
```
Sm3Dy2Tm6Zr
1.0
-2.4822 -4.9637 -2.4680
5.4242 1.9496 -1.9150
4.1165 -5.4528 9.3140
Tm Zr Dy Sm
6 1 2 3
direct
0.4069 0.0805 0.2430
0.5931 0.9195 0.7570
0.9195 0.5931 0.7570
0.0805 0.4069 0.2430
0.7543 0.7543 0.2427
0.2457 0.2457 0.7573
0.0000 0.0000 0.0000
0.6667 0.3333 0.0000
0.3333 0.6667 0.0000
0.5000 0.5000 0.5000
0.1661 0.8339 0.5000
0.8339 0.1661 0.5000
```

Entry 5:
A geometry-optimized Sm3Dy6Tm2Zr structure. Source: Alexandria, functional PBE.

**Density**: 8.334 g cm⁻³
**Space-group type**: No. 12
**Energy relative to the elements**: 0.04 eV/atom
**Electronic total energy**: -4.896 eV/atom

Geometry as POSCAR:
```
Sm3Dy6Tm2Zr
1.0
6.0960 0.0034 0.0024
-3.0436 5.2819 0.0024
-1.0144 -1.7565 11.4750
Sm Zr Dy Tm
3 1 6 2
direct
0.5000 0.5000 0.5000
0.1663 0.8337 0.5000
0.8337 0.1663 0.5000
0.0000 0.0000 0.0000
0.0808 0.4079 0.2417
0.7540 0.7540 0.2412
0.9192 0.5921 0.7583
0.4079 0.0808 0.2417
0.5921 0.9192 0.7583
0.2460 0.2460 0.7588
0.6669 0.3331 0.0000
0.3331 0.6669 0.0000
```

Entry 6:
A geometry-optimized Sm2Dy3Tm6Zr structure. Source: Alexandria, functional PBE.

**Density**: 8.698 g cm⁻³
**Space-group type**: No. 12
**Energy relative to the elements**: 0.05 eV/atom
**Electronic total energy**: -4.836 eV/atom

Geometry as POSCAR:
```
Sm2Dy3Tm6Zr
1.0
-1.4873 -5.3999 -2.2998
5.7352 1.1395 1.5713
-3.5102 -2.4723 10.7253
Dy Tm Sm Zr
3 6 2 1
direct
0.8336 0.1664 0.5000
0.1664 0.8336 0.5000
0.5000 0.5000 0.5000
0.2443 0.2443 0.7538
0.4085 0.0820 0.2465
0.7557 0.7557 0.2462
0.5915 0.9180 0.7535
0.0820 0.4085 0.2465
0.9180 0.5915 0.7535
0.6667 0.3333 0.0000
0.3333 0.6667 0.0000
0.0000 0.0000 0.0000
```

Entry 7:
A geometry-optimized Sm2Dy6Tm3Zr structure. Source: Alexandria, functional PBE.

**Density**: 8.498 g cm⁻³
**Space-group type**: No. 12
**Energy relative to the elements**: 0.05 eV/atom
**Electronic total energy**: -4.867 eV/atom

Geometry as POSCAR:
```
Sm2Dy6Tm3Zr
1.0
-2.6016 2.9250 4.6445
3.9274 -4.5068 1.0768
8.1824 8.0556 -1.8063
Tm Dy Zr Sm
3 6 1 2
direct
0.8336 0.1664 0.5000
0.1664 0.8336 0.5000
0.5000 0.5000 0.5000
0.5902 0.9171 0.7519
0.0829 0.4098 0.2481
0.4098 0.0829 0.2481
0.2438 0.2438 0.7524
0.9171 0.5902 0.7519
0.7562 0.7562 0.2476
0.0000 0.0000 0.0000
0.3332 0.6668 0.0000
0.6668 0.3332 0.0000
```

Entry 8:
A geometry-optimized SmDyV structure. Source: Alexandria, functional PBE.

**Density**: 7.647 g cm⁻³
**Space-group type**: No. 8
**Energy relative to the elements**: 0.42 eV/atom
**Electronic total energy**: -5.732 eV/atom

Geometry as POSCAR:
```
SmDyV
1.0
5.3587 0.0000 0.0000
-2.6793 5.5361 -0.4151
0.0000 -3.5787 5.5943
Sm V Dy
2 2 2
direct
0.9614 0.9228 0.3379
0.5988 0.1976 0.2202
0.2599 0.5198 0.8857
0.6592 0.3184 0.7850
0.3199 0.6398 0.4459
0.9574 0.9148 0.8320
```

Entry 9:
A geometry-optimized Sm10DyY4 structure. Source: Alexandria, functional PBE.

**Density**: 5.681 g cm⁻³
**Space-group type**: No. 87
**Energy relative to the elements**: 0.73 eV/atom
**Electronic total energy**: -4.444 eV/atom

Geometry as POSCAR:
```
Sm10DyY4
1.0
-5.9128 -3.1896 -3.9201
-6.0160 -5.0246 5.4456
-7.7217 5.5767 -0.6074
Sm Y Dy
10 4 1
direct
0.7500 0.5000 0.5000
0.1499 0.2985 0.8999
0.4484 0.8999 0.7015
0.9503 0.8999 0.7015
0.2500 0.5000 0.5000
0.0497 0.1001 0.2985
0.6518 0.2985 0.8999
0.8501 0.7015 0.1001
0.5516 0.1001 0.2985
0.3482 0.7015 0.1001
0.6004 0.1992 0.6001
0.3996 0.8008 0.3999
0.2004 0.3999 0.1992
0.7996 0.6001 0.8008
0.0000 0.0000 0.0000
```

Entry 10:
A geometry-optimized SmDy7Y5 structure. Source: Alexandria, functional PBE.

**Density**: 6.633 g cm⁻³
**Space-group type**: No. 44
**Energy relative to the elements**: 0.27 eV/atom
**Electronic total energy**: -5.060 eV/atom

Geometry as POSCAR:
```
SmDy7Y5
1.0
6.3208 0.0000 2.3162
3.0218 8.0192 1.5363
0.3979 -0.1011 8.6966
Y Sm Dy
5 1 7
direct
0.5352 0.4579 0.0054
0.7702 0.7298 0.7298
0.0014 0.0054 0.4579
0.0014 0.4579 0.0054
0.5352 0.0054 0.4579
0.9684 0.0316 0.0316
0.0189 0.6524 0.3097
0.0189 0.3097 0.6524
0.2702 0.7298 0.7298
0.5735 0.4265 0.4265
0.5192 0.1519 0.8096
0.2682 0.2318 0.2318
0.5192 0.8096 0.1519
```

Entry 11:
A geometry-optimized Sm8Dy2Y structure. Source: Alexandria, functional PBE.

**Density**: 7.242 g cm⁻³
**Space-group type**: No. 12
**Energy relative to the elements**: 0.12 eV/atom
**Electronic total energy**: -4.732 eV/atom

Geometry as POSCAR:
```
Sm8Dy2Y
1.0
-1.5482 -5.2339 -7.5200
3.9172 -8.0044 -4.7734
-3.0040 -9.3458 -2.4149
Sm Y Dy
8 1 2
direct
0.7257 0.3247 0.3247
0.1389 0.7872 0.3512
0.8611 0.2128 0.6488
0.3754 0.3130 0.3130
0.6246 0.6870 0.6870
0.8611 0.6488 0.2128
0.2743 0.6753 0.6753
0.1389 0.3512 0.7872
0.0000 0.0000 0.0000
0.3412 0.1425 0.1425
0.6588 0.8575 0.8575
```

Entry 12:
A geometry-optimized Sm6Dy7Y16 structure. Source: Alexandria, functional PBE.

**Density**: 5.774 g cm⁻³
**Space-group type**: No. 225
**Energy relative to the elements**: 0.24 eV/atom
**Electronic total energy**: -5.410 eV/atom

Geometry as POSCAR:
```
Sm6Dy7Y16
1.0
9.7069 0.0000 5.6043
3.2356 9.1518 5.6043
0.0000 0.0000 11.2086
Y Sm Dy
16 6 7
direct
0.1228 0.1228 0.6316
0.6316 0.1228 0.1228
0.0408 0.6531 0.6531
0.6531 0.6531 0.6531
0.9592 0.3469 0.3469
0.1228 0.1228 0.1228
0.3469 0.3469 0.9592
0.3469 0.3469 0.3469
0.6531 0.0408 0.6531
0.3684 0.8772 0.8772
0.3469 0.9592 0.3469
0.8772 0.8772 0.3684
0.8772 0.3684 0.8772
0.8772 0.8772 0.8772
0.1228 0.6316 0.1228
0.6531 0.6531 0.0408
0.7209 0.2791 0.2791
0.2791 0.7209 0.7209
0.2791 0.2791 0.7209
0.7209 0.2791 0.7209
0.7209 0.7209 0.2791
0.2791 0.7209 0.2791
0.0000 0.0000 0.5000
0.5000 0.0000 0.0000
0.0000 0.0000 0.0000
0.0000 0.5000 0.0000
0.0000 0.5000 0.5000
0.5000 0.5000 0.0000
0.5000 0.0000 0.5000
```

Entry 13:
A geometry-optimized SmDy2Y9 structure. Source: Alexandria, functional PBE.

**Density**: 5.477 g cm⁻³
**Space-group type**: No. 123
**Energy relative to the elements**: 0.02 eV/atom
**Electronic total energy**: -5.984 eV/atom

Geometry as POSCAR:
```
SmDy2Y9
1.0
5.0514 0.0000 0.0000
0.0000 5.0514 0.0000
0.0000 0.0000 15.1554
Y Dy Sm
9 2 1
direct
0.0000 0.5000 0.5000
0.0000 0.5000 0.8321
0.5000 0.5000 0.0000
0.5000 0.5000 0.3342
0.5000 0.0000 0.5000
0.5000 0.0000 0.8321
0.0000 0.5000 0.1679
0.5000 0.5000 0.6658
0.5000 0.0000 0.1679
0.0000 0.0000 0.6662
0.0000 0.0000 0.3338
0.0000 0.0000 0.0000
```

Entry 14:
A geometry-optimized Sm6DyY8 structure. Source: Alexandria, functional PBE.

**Density**: 5.969 g cm⁻³
**Space-group type**: No. 148
**Energy relative to the elements**: 0.18 eV/atom
**Electronic total energy**: -5.464 eV/atom

Geometry as POSCAR:
```
Sm6DyY8
1.0
-1.3058 -7.8363 5.7059
6.4429 -7.3552 -0.2435
4.8702 -2.4409 6.1458
Sm Y Dy
6 8 1
direct
0.0768 0.2816 0.0309
0.6107 0.0768 0.0309
0.9232 0.7184 0.9691
0.2816 0.6107 0.0309
0.7184 0.3893 0.9691
0.3893 0.9232 0.9691
0.0747 0.6445 0.5111
0.4145 0.4145 0.7564
0.5855 0.5855 0.2436
0.2304 0.9253 0.4889
0.3555 0.2304 0.4889
0.9253 0.3555 0.4889
0.7696 0.0747 0.5111
0.6445 0.7696 0.5111
0.0000 0.0000 0.0000
```

Entry 15:
A geometry-optimized Sm4Dy3Y structure. Source: Alexandria, functional PBE.

**Density**: 7.316 g cm⁻³
**Space-group type**: No. 12
**Energy relative to the elements**: 0.16 eV/atom
**Electronic total energy**: -4.730 eV/atom

Geometry as POSCAR:
```
Sm4Dy3Y
1.0
3.4754 0.0000 -0.4385
-0.1728 6.6277 -1.3699
-0.2704 -0.9936 11.8489
Sm Dy Y
4 3 1
direct
0.7400 0.2366 0.4801
0.1243 0.3697 0.2487
0.8757 0.6303 0.7513
0.2600 0.7634 0.5199
0.1235 0.8814 0.2469
0.0000 0.5000 0.0000
0.8765 0.1186 0.7531
0.5000 0.0000 0.0000
```

Entry 16:
A geometry-optimized Sm3Dy4Y4 structure. Source: Alexandria, functional PBE.

**Density**: 6.553 g cm⁻³
**Space-group type**: No. 71
**Energy relative to the elements**: 0.18 eV/atom
**Electronic total energy**: -5.133 eV/atom

Geometry as POSCAR:
```
Sm3Dy4Y4
1.0
3.4779 0.0000 -0.6406
-1.0180 9.8175 -5.5264
0.2208 -0.3249 10.9595
Y Dy Sm
4 4 3
direct
0.5000 0.7889 0.0000
0.2169 0.7169 0.4337
0.7831 0.2831 0.5663
0.5000 0.2111 0.0000
0.3282 0.0817 0.6564
0.3282 0.5747 0.6564
0.6718 0.4253 0.3436
0.6718 0.9183 0.3436
0.8913 0.8913 0.7826
0.1087 0.1087 0.2174
0.0000 0.5000 0.0000
```

Entry 17:
A geometry-optimized Sm2Dy3Y6 structure. Source: Alexandria, functional PBE.

**Density**: 5.850 g cm⁻³
**Space-group type**: No. 139
**Energy relative to the elements**: 0.29 eV/atom
**Electronic total energy**: -5.353 eV/atom

Geometry as POSCAR:
```
Sm2Dy3Y6
1.0
-4.2034 1.0333 1.9147
-1.1545 -4.5898 -0.0576
9.2033 -0.0550 14.3842
Y Dy Sm
6 3 2
direct
0.1214 0.6214 0.2427
0.6987 0.6987 0.3974
0.8786 0.3786 0.7573
0.3013 0.3013 0.6026
0.6214 0.1214 0.2427
0.3786 0.8786 0.7573
0.1988 0.1988 0.3975
0.0000 0.0000 0.0000
0.8012 0.8012 0.6025
0.4548 0.4548 0.9095
0.5452 0.5452 0.0905
```

Entry 18:
A geometry-optimized SmDy3Y4 structure. Source: Alexandria, functional PBE.

**Density**: 6.326 g cm⁻³
**Space-group type**: No. 31
**Energy relative to the elements**: 0.01 eV/atom
**Electronic total energy**: -5.541 eV/atom

Geometry as POSCAR:
```
SmDy3Y4
1.0
-5.4822 -3.0614 0.6385
2.6593 -5.5744 -3.8954
3.8023 -4.8271 9.5033
Y Dy Sm
8 6 2
direct
0.4825 0.8744 0.7510
0.6468 0.1256 0.0000
0.6457 0.1257 0.5000
0.4825 0.8744 0.2490
0.9825 0.1256 0.7490
0.1468 0.8744 0.5000
0.9825 0.1256 0.2510
0.1457 0.8743 0.0000
0.9796 0.6245 0.7502
0.4796 0.3755 0.2502
0.1489 0.3759 0.5000
0.9796 0.6245 0.2498
0.6489 0.6241 0.0000
0.4796 0.3755 0.7498
0.6497 0.6242 0.5000
0.1497 0.3758 0.0000
```

Entry 19:
A geometry-optimized Sm6DyY4 structure. Source: Alexandria, functional PBE.

**Density**: 6.191 g cm⁻³
**Space-group type**: No. 121
**Energy relative to the elements**: 0.31 eV/atom
**Electronic total energy**: -5.029 eV/atom

Geometry as POSCAR:
```
Sm6DyY4
1.0
6.6759 0.0000 0.0000
0.0000 6.6759 0.0000
-3.3380 -3.3380 8.5472
Y Sm Dy
4 6 1
direct
0.3061 0.3061 0.2549
0.0512 0.6939 0.7451
0.9488 0.9488 0.2549
0.6939 0.0512 0.7451
0.4869 0.8621 0.3491
0.5000 0.0000 0.0000
0.5131 0.5131 0.6509
0.0000 0.5000 0.0000
0.8621 0.4869 0.3491
0.1379 0.1379 0.6509
0.5000 0.5000 0.0000
```

| no. | volume (Å³/atom) |
| --- | --- |
| 1 | 33.295 |
| 2 | 31.539 |
| 3 | 32.233 |
| 4 | 30.296 |
| 5 | 30.804 |
| 6 | 30.116 |
| 7 | 30.510 |
| 8 | 26.334 |
| 9 | 39.393 |
| 10 | 33.361 |
| 11 | 33.700 |
| 12 | 34.335 |
| 13 | 32.226 |
| 14 | 32.936 |
| 15 | 33.417 |
| 16 | 33.558 |
| 17 | 34.104 |
| 18 | 32.598 |
| 19 | 34.630 |